Entry from Alexandria: Cd8Ga2Ag3 after structural relaxation (PBE).

a = 10.688 Å, b = 10.688 Å, c = 10.688 Å
α = 31.08°, β = 31.08°, γ = 31.08°
Fractional coordinates of all 13 atoms:
Cd 0.224 0.224 0.224
Cd 0.228 0.228 0.726
Cd 0.228 0.726 0.228
Cd 0.274 0.772 0.772
Cd 0.726 0.228 0.228
Cd 0.772 0.274 0.772
Cd 0.772 0.772 0.274
Cd 0.776 0.776 0.776
Ga 0.139 0.139 0.139
Ga 0.861 0.861 0.861
Ag 0.315 0.315 0.315
Ag 0.500 0.500 0.500
Ag 0.685 0.685 0.685

## Properties
ΔH_f (0 K) (eV/atom): 0.14
Symmetry: R-3m
Crystal system: trigonal